1.
DFT (meta-GGA SCAN) results for a PBEsol-optimized structure of YMgHg2.

Geometry as CIF:
```
data_YMgHg2
_chemical_formula_sum 'Y1 Mg1 Hg2'
_symmetry_space_group_name_H-M 'P 4/m m m'
_symmetry_Int_Tables_number 123
_symmetry_space_group_name_Hall '-P 4 2'
_cell_length_a 4.901
_cell_length_b 4.901
_cell_length_c 3.777
_cell_angle_alpha 90.00
_cell_angle_beta 90.00
_cell_angle_gamma 90.00
loop_
_atom_site_label
_atom_site_type_symbol
_atom_site_fract_x
_atom_site_fract_y
_atom_site_fract_z
Y1 Y 0.000 0.000 0.000
Mg1 Mg 0.500 0.500 0.000
Hg1 Hg 0.000 0.500 0.500
```

Total magnetic moment (Bohr magnetons per cell): 0.00
Energy of formation from the pure elements (eV per atom): -0.59


2.
DFT (meta-GGA SCAN) results for a PBEsol-optimized structure of YMg2Hg2.

Geometry as CIF:
```
data_YMg2Hg2
_chemical_formula_sum 'Y2 Mg4 Hg4'
_symmetry_space_group_name_H-M 'I 4/m m m'
_symmetry_Int_Tables_number 139
_symmetry_space_group_name_Hall '-I 4 2'
_cell_length_a 4.217
_cell_length_b 4.217
_cell_length_c 12.933
_cell_angle_alpha 90.00
_cell_angle_beta 90.00
_cell_angle_gamma 90.00
loop_
_atom_site_label
_atom_site_type_symbol
_atom_site_fract_x
_atom_site_fract_y
_atom_site_fract_z
Y1 Y 0.000 0.000 0.000
Mg1 Mg 0.000 0.500 0.250
Hg1 Hg 0.000 0.000 0.393
```

Total magnetic moment (Bohr magnetons per cell): 0.00
Energy of formation from the pure elements (eV per atom): -0.52


3.
DFT (meta-GGA SCAN) results for a PBEsol-optimized structure of YMgHg2.

Geometry as CIF:
```
data_YMgHg2
_chemical_formula_sum 'Y1 Mg1 Hg2'
_symmetry_space_group_name_H-M 'P 4/m m m'
_symmetry_Int_Tables_number 123
_symmetry_space_group_name_Hall '-P 4 2'
_cell_length_a 3.471
_cell_length_b 3.471
_cell_length_c 7.362
_cell_angle_alpha 90.00
_cell_angle_beta 90.00
_cell_angle_gamma 90.00
loop_
_atom_site_label
_atom_site_type_symbol
_atom_site_fract_x
_atom_site_fract_y
_atom_site_fract_z
Y1 Y 0.000 0.000 0.000
Mg1 Mg 0.000 0.000 0.500
Hg1 Hg 0.500 0.500 0.269
```

Total magnetic moment (Bohr magnetons per cell): 0.04
Energy of formation from the pure elements (eV per atom): -0.58


4.
DFT (meta-GGA SCAN) results for a PBEsol-optimized structure of Y2MgHg.

Geometry as CIF:
```
data_Y2MgHg
_chemical_formula_sum 'Y4 Mg2 Hg2'
_symmetry_space_group_name_H-M 'I m m 2'
_symmetry_Int_Tables_number 44
_cell_length_a 3.610
_cell_length_b 5.197
_cell_length_c 10.858
_cell_angle_alpha 90.00
_cell_angle_beta 90.00
_cell_angle_gamma 90.00
loop_
_symmetry_equiv_pos_as_xyz
'x,y,z'
'-x,-y,z'
'-x,y,z'
'x,-y,z'
'x+1/2,y+1/2,z+1/2'
'-x+1/2,-y+1/2,z+1/2'
'-x+1/2,y+1/2,z+1/2'
'x+1/2,-y+1/2,z+1/2'
loop_
_atom_site_label
_atom_site_type_symbol
_atom_site_fract_x
_atom_site_fract_y
_atom_site_fract_z
Y1 Y 0.000 0.000 0.000
Y2 Y 0.000 0.500 0.223
Mg1 Mg 0.000 0.000 0.445
Hg1 Hg 0.000 0.500 0.743
```

Total magnetic moment (Bohr magnetons per cell): 1.87
Energy of formation from the pure elements (eV per atom): -0.39


5.
DFT (meta-GGA SCAN) results for a PBEsol-optimized structure of Y2MgHg2.

Geometry as CIF:
```
data_Y2MgHg2
_chemical_formula_sum 'Y4 Mg2 Hg4'
_symmetry_space_group_name_H-M 'P 4/m b m'
_symmetry_Int_Tables_number 127
_symmetry_space_group_name_Hall '-P 4 2ab'
_cell_length_a 7.931
_cell_length_b 7.931
_cell_length_c 3.961
_cell_angle_alpha 90.00
_cell_angle_beta 90.00
_cell_angle_gamma 90.00
loop_
_atom_site_label
_atom_site_type_symbol
_atom_site_fract_x
_atom_site_fract_y
_atom_site_fract_z
Y1 Y 0.166 0.334 0.000
Mg1 Mg 0.000 0.000 0.500
Hg1 Hg 0.134 0.634 0.500
```

Total magnetic moment (Bohr magnetons per cell): 0.07
Energy of formation from the pure elements (eV per atom): -0.68


6.
DFT (meta-GGA SCAN) results for a PBEsol-optimized structure of YMgHg.

Geometry as CIF:
```
data_YMgHg
_chemical_formula_sum 'Y1 Mg1 Hg1'
_symmetry_space_group_name_H-M 'P -6 m 2'
_symmetry_Int_Tables_number 187
_symmetry_space_group_name_Hall 'P -6 2'
_cell_length_a 4.8430
_cell_length_b 4.8430
_cell_length_c 3.4937
_cell_angle_alpha 90.00
_cell_angle_beta 90.00
_cell_angle_gamma 120.00
loop_
_atom_site_label
_atom_site_type_symbol
_atom_site_fract_x
_atom_site_fract_y
_atom_site_fract_z
Y1 Y 0.0000 0.0000 0.0000
Mg1 Mg 0.6667 0.3333 0.5000
Hg1 Hg 0.3333 0.6667 0.5000
```

Total magnetic moment (Bohr magnetons per cell): 0.20
Energy of formation from the pure elements (eV per atom): -0.53


7.
DFT (meta-GGA SCAN) results for a PBEsol-optimized structure of Y2MgHg.

Geometry as CIF:
```
data_Y2MgHg
_chemical_formula_sum 'Y2 Mg1 Hg1'
_symmetry_space_group_name_H-M 'P 1 m 1'
_symmetry_Int_Tables_number 6
_cell_length_a 3.585
_cell_length_b 4.810
_cell_length_c 6.218
_cell_angle_alpha 90.00
_cell_angle_beta 106.15
_cell_angle_gamma 90.00
loop_
_symmetry_equiv_pos_as_xyz
'x,y,z'
'x,-y,z'
loop_
_atom_site_label
_atom_site_type_symbol
_atom_site_fract_x
_atom_site_fract_y
_atom_site_fract_z
Y1 Y 0.000 0.000 0.000
Y2 Y 0.323 0.500 0.651
Mg1 Mg 0.725 0.000 0.456
Hg1 Hg 0.590 0.500 0.180
```

Total magnetic moment (Bohr magnetons per cell): 0.06
Energy of formation from the pure elements (eV per atom): -0.40


8.
DFT (meta-GGA SCAN) results for a PBEsol-optimized structure of YMgHg.

Geometry as CIF:
```
data_YMgHg
_chemical_formula_sum 'Y2 Mg2 Hg2'
_symmetry_space_group_name_H-M 'I 4 m m'
_symmetry_Int_Tables_number 107
_symmetry_space_group_name_Hall 'I 4 -2'
_cell_length_a 3.441
_cell_length_b 3.441
_cell_length_c 12.058
_cell_angle_alpha 90.00
_cell_angle_beta 90.00
_cell_angle_gamma 90.00
loop_
_atom_site_label
_atom_site_type_symbol
_atom_site_fract_x
_atom_site_fract_y
_atom_site_fract_z
Y1 Y 0.000 0.000 0.000
Mg1 Mg 0.000 0.000 0.695
Hg1 Hg 0.000 0.000 0.336
```

Total magnetic moment (Bohr magnetons per cell): 0.46
Energy of formation from the pure elements (eV per atom): -0.42


9.
DFT (meta-GGA SCAN) results for a PBEsol-optimized structure of Y2MgHg.

Geometry as CIF:
```
data_Y2MgHg
_chemical_formula_sum 'Y8 Mg4 Hg4'
_symmetry_space_group_name_H-M 'F m -3 m'
_symmetry_Int_Tables_number 225
_symmetry_space_group_name_Hall '-F 4 2 3'
_cell_length_a 7.390
_cell_length_b 7.390
_cell_length_c 7.390
_cell_angle_alpha 90.00
_cell_angle_beta 90.00
_cell_angle_gamma 90.00
loop_
_atom_site_label
_atom_site_type_symbol
_atom_site_fract_x
_atom_site_fract_y
_atom_site_fract_z
Y1 Y 0.250 0.250 0.250
Mg1 Mg 0.000 0.000 0.000
Hg1 Hg 0.000 0.000 0.500
```

Total magnetic moment (Bohr magnetons per cell): 0.11
Energy of formation from the pure elements (eV per atom): -0.45


10.
DFT (meta-GGA SCAN) results for a PBEsol-optimized structure of YMgHg2.

Geometry as CIF:
```
data_YMgHg2
_chemical_formula_sum 'Y2 Mg2 Hg4'
_symmetry_space_group_name_H-M 'I -4 m 2'
_symmetry_Int_Tables_number 119
_symmetry_space_group_name_Hall 'I -4 -2'
_cell_length_a 4.375
_cell_length_b 4.375
_cell_length_c 9.697
_cell_angle_alpha 90.00
_cell_angle_beta 90.00
_cell_angle_gamma 90.00
loop_
_atom_site_label
_atom_site_type_symbol
_atom_site_fract_x
_atom_site_fract_y
_atom_site_fract_z
Y1 Y 0.000 0.000 0.000
Mg1 Mg 0.000 0.500 0.750
Hg1 Hg 0.000 0.000 0.500
Hg2 Hg 0.000 0.500 0.250
```

Total magnetic moment (Bohr magnetons per cell): 0.00
Energy of formation from the pure elements (eV per atom): -0.39


11.
DFT (meta-GGA SCAN) results for a PBEsol-optimized structure of YMgHg2.

Geometry as CIF:
```
data_YMgHg2
_chemical_formula_sum 'Y3 Mg3 Hg6'
_symmetry_space_group_name_H-M 'R -3 m'
_symmetry_Int_Tables_number 166
_symmetry_space_group_name_Hall '-R 3 2"'
_cell_length_a 3.6880
_cell_length_b 3.6880
_cell_length_c 25.1265
_cell_angle_alpha 90.00
_cell_angle_beta 90.00
_cell_angle_gamma 120.00
loop_
_atom_site_label
_atom_site_type_symbol
_atom_site_fract_x
_atom_site_fract_y
_atom_site_fract_z
Y1 Y 0.0000 0.0000 0.0000
Mg1 Mg 0.0000 0.0000 0.5000
Hg1 Hg 0.0000 0.0000 0.2455
```

Total magnetic moment (Bohr magnetons per cell): 0.00
Energy of formation from the pure elements (eV per atom): -0.41


12.
DFT (meta-GGA SCAN) results for a PBEsol-optimized structure of Y3MgHg.

Geometry as CIF:
```
data_Y3MgHg
_chemical_formula_sum 'Y3 Mg1 Hg1'
_symmetry_space_group_name_H-M 'P m -3 m'
_symmetry_Int_Tables_number 221
_symmetry_space_group_name_Hall '-P 4 2 3'
_cell_length_a 5.588
_cell_length_b 5.588
_cell_length_c 5.588
_cell_angle_alpha 90.00
_cell_angle_beta 90.00
_cell_angle_gamma 90.00
loop_
_atom_site_label
_atom_site_type_symbol
_atom_site_fract_x
_atom_site_fract_y
_atom_site_fract_z
Y1 Y 0.000 0.000 0.500
Mg1 Mg 0.500 0.500 0.500
Hg1 Hg 0.000 0.000 0.000
```

Total magnetic moment (Bohr magnetons per cell): 1.32
Energy of formation from the pure elements (eV per atom): 0.06


13.
DFT (meta-GGA SCAN) results for a PBEsol-optimized structure of Y4MgHg.

Geometry as CIF:
```
data_Y4MgHg
_chemical_formula_sum 'Y16 Mg4 Hg4'
_symmetry_space_group_name_H-M 'F -4 3 m'
_symmetry_Int_Tables_number 216
_symmetry_space_group_name_Hall 'F -4 2 3'
_cell_length_a 8.809
_cell_length_b 8.809
_cell_length_c 8.809
_cell_angle_alpha 90.00
_cell_angle_beta 90.00
_cell_angle_gamma 90.00
loop_
_atom_site_label
_atom_site_type_symbol
_atom_site_fract_x
_atom_site_fract_y
_atom_site_fract_z
Y1 Y 0.125 0.125 0.125
Mg1 Mg 0.250 0.250 0.750
Hg1 Hg 0.000 0.000 0.500
```

Total magnetic moment (Bohr magnetons per cell): 0.00
Energy of formation from the pure elements (eV per atom): 0.29


14.
DFT (meta-GGA SCAN) results for a PBEsol-optimized structure of MgZnHg.

Geometry as CIF:
```
data_MgZnHg
_chemical_formula_sum 'Mg4 Zn4 Hg4'
_symmetry_space_group_name_H-M 'F -4 3 m'
_symmetry_Int_Tables_number 216
_symmetry_space_group_name_Hall 'F -4 2 3'
_cell_length_a 6.400
_cell_length_b 6.400
_cell_length_c 6.400
_cell_angle_alpha 90.00
_cell_angle_beta 90.00
_cell_angle_gamma 90.00
loop_
_atom_site_label
_atom_site_type_symbol
_atom_site_fract_x
_atom_site_fract_y
_atom_site_fract_z
Mg1 Mg 0.000 0.000 0.000
Zn1 Zn 0.250 0.250 0.750
Hg1 Hg 0.250 0.250 0.250
```

Total magnetic moment (Bohr magnetons per cell): 0.00
Energy of formation from the pure elements (eV per atom): 0.06


15.
DFT (meta-GGA SCAN) results for a PBEsol-optimized structure of Mg2Zn2Hg.

Geometry as CIF:
```
data_Mg2Zn2Hg
_chemical_formula_sum 'Mg4 Zn4 Hg2'
_symmetry_space_group_name_H-M 'P 4/m b m'
_symmetry_Int_Tables_number 127
_symmetry_space_group_name_Hall '-P 4 2ab'
_cell_length_a 6.843
_cell_length_b 6.843
_cell_length_c 3.980
_cell_angle_alpha 90.00
_cell_angle_beta 90.00
_cell_angle_gamma 90.00
loop_
_atom_site_label
_atom_site_type_symbol
_atom_site_fract_x
_atom_site_fract_y
_atom_site_fract_z
Mg1 Mg 0.168 0.332 0.000
Zn1 Zn 0.128 0.628 0.500
Hg1 Hg 0.000 0.000 0.500
```

Total magnetic moment (Bohr magnetons per cell): 0.00
Energy of formation from the pure elements (eV per atom): -0.16


16.
DFT (meta-GGA SCAN) results for a PBEsol-optimized structure of MgZnHg2.

Geometry as CIF:
```
data_MgZnHg2
_chemical_formula_sum 'Mg2 Zn2 Hg4'
_symmetry_space_group_name_H-M 'C 1 m 1'
_symmetry_Int_Tables_number 8
_cell_length_a 9.495
_cell_length_b 3.536
_cell_length_c 4.795
_cell_angle_alpha 90.00
_cell_angle_beta 101.25
_cell_angle_gamma 90.00
loop_
_symmetry_equiv_pos_as_xyz
'x,y,z'
'x,-y,z'
'x+1/2,y+1/2,z'
'x+1/2,-y+1/2,z'
loop_
_atom_site_label
_atom_site_type_symbol
_atom_site_fract_x
_atom_site_fract_y
_atom_site_fract_z
Mg1 Mg 0.000 0.000 0.000
Zn1 Zn 0.251 0.000 0.721
Hg1 Hg 0.004 0.500 0.520
Hg2 Hg 0.245 0.500 0.204
```

Total magnetic moment (Bohr magnetons per cell): 0.00
Energy of formation from the pure elements (eV per atom): -0.11


17.
DFT (meta-GGA SCAN) results for a PBEsol-optimized structure of MgZnHg2.

Geometry as CIF:
```
data_MgZnHg2
_chemical_formula_sum 'Mg3 Zn3 Hg6'
_symmetry_space_group_name_H-M 'R -3 m'
_symmetry_Int_Tables_number 166
_symmetry_space_group_name_Hall '-R 3 2"'
_cell_length_a 3.3097
_cell_length_b 3.3097
_cell_length_c 25.6702
_cell_angle_alpha 90.00
_cell_angle_beta 90.00
_cell_angle_gamma 120.00
loop_
_atom_site_label
_atom_site_type_symbol
_atom_site_fract_x
_atom_site_fract_y
_atom_site_fract_z
Mg1 Mg 0.0000 0.0000 0.0000
Zn1 Zn 0.0000 0.0000 0.5000
Hg1 Hg 0.0000 0.0000 0.2466
```

Total magnetic moment (Bohr magnetons per cell): 0.00
Energy of formation from the pure elements (eV per atom): -0.09


18.
DFT (meta-GGA SCAN) results for a PBEsol-optimized structure of Mg2ZnHg.

Geometry as CIF:
```
data_Mg2ZnHg
_chemical_formula_sum 'Mg2 Zn1 Hg1'
_symmetry_space_group_name_H-M 'P 1 m 1'
_symmetry_Int_Tables_number 6
_cell_length_a 3.280
_cell_length_b 4.441
_cell_length_c 5.518
_cell_angle_alpha 90.00
_cell_angle_beta 105.73
_cell_angle_gamma 90.00
loop_
_symmetry_equiv_pos_as_xyz
'x,y,z'
'x,-y,z'
loop_
_atom_site_label
_atom_site_type_symbol
_atom_site_fract_x
_atom_site_fract_y
_atom_site_fract_z
Mg1 Mg 0.000 0.000 0.000
Mg2 Mg 0.305 0.500 0.643
Zn1 Zn 0.575 0.500 0.165
Hg1 Hg 0.724 0.000 0.465
```

Total magnetic moment (Bohr magnetons per cell): 0.00
Energy of formation from the pure elements (eV per atom): -0.25


19.
DFT (meta-GGA SCAN) results for a PBEsol-optimized structure of Mg2ZnHg.

Geometry as CIF:
```
data_Mg2ZnHg
_chemical_formula_sum 'Mg4 Zn2 Hg2'
_symmetry_space_group_name_H-M 'I m m 2'
_symmetry_Int_Tables_number 44
_cell_length_a 3.707
_cell_length_b 4.471
_cell_length_c 9.306
_cell_angle_alpha 90.00
_cell_angle_beta 90.00
_cell_angle_gamma 90.00
loop_
_symmetry_equiv_pos_as_xyz
'x,y,z'
'-x,-y,z'
'-x,y,z'
'x,-y,z'
'x+1/2,y+1/2,z+1/2'
'-x+1/2,-y+1/2,z+1/2'
'-x+1/2,y+1/2,z+1/2'
'x+1/2,-y+1/2,z+1/2'
loop_
_atom_site_label
_atom_site_type_symbol
_atom_site_fract_x
_atom_site_fract_y
_atom_site_fract_z
Mg1 Mg 0.000 0.000 0.000
Mg2 Mg 0.000 0.500 0.233
Zn1 Zn 0.000 0.000 0.486
Hg1 Hg 0.000 0.500 0.756
```

Total magnetic moment (Bohr magnetons per cell): 0.00
Energy of formation from the pure elements (eV per atom): -0.17


20.
DFT (meta-GGA SCAN) results for a PBEsol-optimized structure of MgZnHg.

Geometry as CIF:
```
data_MgZnHg
_chemical_formula_sum 'Mg2 Zn2 Hg2'
_symmetry_space_group_name_H-M 'C 1 m 1'
_symmetry_Int_Tables_number 8
_cell_length_a 5.104
_cell_length_b 5.164
_cell_length_c 4.929
_cell_angle_alpha 90.00
_cell_angle_beta 120.92
_cell_angle_gamma 90.00
loop_
_symmetry_equiv_pos_as_xyz
'x,y,z'
'x,-y,z'
'x+1/2,y+1/2,z'
'x+1/2,-y+1/2,z'
loop_
_atom_site_label
_atom_site_type_symbol
_atom_site_fract_x
_atom_site_fract_y
_atom_site_fract_z
Mg1 Mg 0.000 0.000 0.000
Zn1 Zn 0.167 0.500 0.334
Hg1 Hg 0.333 0.000 0.665
```

Total magnetic moment (Bohr magnetons per cell): 0.00
Energy of formation from the pure elements (eV per atom): -0.16